1.
Computed, not measured: a geometry-optimized KInHg structure at the GGA-PBE level of DFT.

Cell: 6.8646 6.8647 3.9604 Å, 73.23 73.24 33.53°
With the nearest neighbours (Å) after each atom.
Element x y z (fractional)
K (0.6629, 0.6629, 0.3371)  5 In 3.70-3.80, 5 Hg 3.70-3.84, 4 K 3.96
Hg (0.9694, 0.9694, 0.0306)  4 In 3.08
In (0.3676, 0.3676, 0.6324)  4 Hg 3.08

Results
Its magnetization is 0.00 μB per cell. Its total energy is -1.508 eV/atom.



2.
Computed, not measured: a geometry-optimized K5In2Hg12 structure at the GGA-PBE level of DFT.

Cell: 8.2757 8.3323 9.7346 Å, 64.66 88.74 90.00°
With the nearest neighbours (Å) after each atom.
Element x y z (fractional)
K (0.5629, 0.7572, 0.4856)  10 Hg 3.55-3.76, 1 K 3.93
K (0.0227, 0.7068, 0.5863)  8 Hg 3.49-3.90
K (0.5000, 0.0000, 0.0000)  10 Hg 3.54-3.66
K (0.9773, 0.2932, 0.4137)  8 Hg 3.49-3.90
K (0.4371, 0.2428, 0.5144)  10 Hg 3.55-3.76, 1 K 3.93
In (0.0000, 0.6897, 0.0000)  1 In 3.16, 8 Hg 3.17-3.34
In (0.0000, 0.3103, 0.0000)  1 In 3.16, 8 Hg 3.17-3.34
Hg (0.1075, 0.0919, 0.8161)  2 In 3.17, 4 Hg 3.21-3.37
Hg (0.7617, 0.3231, 0.7238)  3 Hg 3.08-3.37, 1 In 3.33
Hg (0.7617, 0.9531, 0.7238)  3 Hg 3.08-3.37, 1 In 3.33
Hg (0.3327, 0.4211, 0.7808)  4 Hg 3.14-3.35, 1 In 3.32, 1 K 3.49
Hg (0.3327, 0.7981, 0.7808)  4 Hg 3.14-3.35, 1 In 3.32, 1 K 3.49
Hg (0.6688, 0.5566, 0.8868)  7 Hg 3.08-3.39, 2 In 3.34
Hg (0.3312, 0.4434, 0.1132)  7 Hg 3.08-3.39, 2 In 3.34
Hg (0.6673, 0.5789, 0.2192)  4 Hg 3.14-3.35, 1 In 3.32, 1 K 3.49
Hg (0.6673, 0.2019, 0.2192)  4 Hg 3.14-3.35, 1 In 3.32, 1 K 3.49
Hg (0.2383, 0.6769, 0.2762)  3 Hg 3.08-3.37, 1 In 3.33
Hg (0.2383, 0.0469, 0.2762)  3 Hg 3.08-3.37, 1 In 3.33
Hg (0.8925, 0.9081, 0.1839)  2 In 3.17, 4 Hg 3.21-3.37

Results
Its magnetization is 0.00 μB per cell. Its total energy is -0.947 eV/atom.



3.
Computed, not measured: a geometry-optimized KIn2Hg2 structure at the GGA-PBE level of DFT.

Cell: 9.2730 9.2730 3.3728 Å, 90.00 90.00 90.00°
With the nearest neighbours (Å) after each atom.
Element x y z (fractional)
K (0.0000, 0.0000, 0.0000)  2 K 3.37, 4 In 3.65
K (0.5000, 0.5000, 0.0000)  2 K 3.37, 4 In 3.65
Hg (0.1656, 0.6656, 0.5000)  6 In 3.18-3.23, 2 Hg 3.37
Hg (0.6656, 0.8344, 0.5000)  6 In 3.18-3.23, 2 Hg 3.37
Hg (0.8344, 0.3344, 0.5000)  6 In 3.18-3.23, 2 Hg 3.37
Hg (0.3344, 0.1656, 0.5000)  6 In 3.18-3.23, 2 Hg 3.37
In (0.3715, 0.8715, 0.0000)  6 Hg 3.18-3.23, 3 In 3.37
In (0.8715, 0.6285, 0.0000)  6 Hg 3.18-3.23, 3 In 3.37
In (0.6285, 0.1285, 0.0000)  6 Hg 3.18-3.23, 3 In 3.37
In (0.1285, 0.3715, 0.0000)  6 Hg 3.18-3.23, 3 In 3.37

Results
Its magnetization is 0.00 μB per cell. Its total energy is -1.534 eV/atom.